Record 1
11
Lattice="-2.423 3.694 7.758 2.423 -3.694 7.758 2.423 3.694 -7.758" Properties=species:S:1:pos:R:3 comment="Sr3Cd4Ge4 | Alexandria via LeMat-Bulk | PBE | optimized geometry" formation_energy_ev_per_atom=-0.403 spacegroup="No. 71" total_energy_ha_per_atom=-0.106 pbc="T T T"
Sr 0.000 0.000 0.000
Sr 2.423 0.000 5.860
Sr 0.000 3.694 1.897
Cd 2.423 1.463 -2.592
Cd 2.423 1.463 2.592
Cd 0.000 2.231 5.165
Cd 0.000 2.231 10.350
Ge 0.000 0.000 3.355
Ge 2.423 2.397 0.000
Ge 0.000 1.298 7.758
Ge 0.000 0.000 12.160

Record 2
5
Lattice="5.712 0.000 0.000 0.000 5.712 0.000 0.000 0.000 5.712" Properties=species:S:1:pos:R:3 comment="SrCdGe3 | Alexandria via LeMat-Bulk | PBE | optimized geometry" formation_energy_ev_per_atom=1.127 spacegroup="No. 221" e_above_lowest_polymorph_ev_per_atom=0.8373 total_energy_ha_per_atom=-0.079 pbc="T T T"
Sr 0.000 0.000 0.000
Cd 2.856 2.856 2.856
Ge 0.000 0.000 2.856
Ge 0.000 2.856 0.000
Ge 2.856 0.000 0.000

Record 3
6
Lattice="0.000 4.076 4.076 4.076 0.000 4.076 4.076 4.076 0.000" Properties=species:S:1:pos:R:3 comment="SrCdGe4 | Alexandria via LeMat-Bulk | PBE | optimized geometry" formation_energy_ev_per_atom=-0.099 spacegroup="No. 216" total_energy_ha_per_atom=-0.133 pbc="T T T"
Sr 0.000 0.000 0.000
Cd 2.038 2.038 2.038
Ge 5.084 3.067 3.067
Ge 3.067 5.084 3.067
Ge 3.067 3.067 5.084
Ge 5.084 5.084 5.084

Record 4
8
Lattice="6.603 0.000 0.000 0.000 4.753 0.000 -2.966 0.000 8.204" Properties=species:S:1:pos:R:3 comment="Sr2CdGe | Alexandria via LeMat-Bulk | PBE | optimized geometry" formation_energy_ev_per_atom=-0.471 spacegroup="No. 11" total_energy_ha_per_atom=-0.099 pbc="T T T"
Sr 0.079 1.188 3.538
Sr -1.259 1.188 7.603
Sr 4.896 3.564 0.601
Sr 3.558 3.564 4.665
Cd 1.701 3.564 1.801
Cd 1.936 1.188 6.403
Ge 0.219 3.564 5.836
Ge 3.418 1.188 2.367

Record 5
8
Lattice="-2.331 3.129 8.384 2.331 -3.129 8.384 2.331 3.129 -8.384" Properties=species:S:1:pos:R:3 comment="Sr3CdGe4 | Alexandria via LeMat-Bulk | PBE | optimized geometry" formation_energy_ev_per_atom=-0.373 spacegroup="No. 71" total_energy_ha_per_atom=-0.126 pbc="T T T"
Sr 0.000 0.000 0.000
Sr 2.331 0.000 5.160
Sr 0.000 3.129 3.224
Cd 0.000 0.000 8.384
Ge 2.331 1.199 -2.057
Ge 2.331 1.199 2.057
Ge 0.000 1.930 6.328
Ge 0.000 1.930 10.441

Record 6
12
Lattice="7.866 0.000 0.000 0.000 4.673 0.000 0.000 0.000 8.554" Properties=species:S:1:pos:R:3 comment="SrCdGe | Alexandria via LeMat-Bulk | PBE | optimized geometry" formation_energy_ev_per_atom=-0.485 spacegroup="No. 62" total_energy_ha_per_atom=-0.106 pbc="T T T"
Sr 0.098 1.168 1.623
Sr 3.835 3.505 5.900
Sr 4.031 1.168 2.654
Sr 7.768 3.505 6.931
Cd 1.227 1.168 4.870
Cd 2.706 3.505 0.593
Cd 5.160 1.168 7.961
Cd 6.639 3.505 3.684
Ge 1.748 3.505 3.354
Ge 2.185 1.168 7.631
Ge 5.681 3.505 0.923
Ge 6.118 1.168 5.200

Record 7
30
Lattice="0.000 7.289 7.289 7.289 0.000 7.289 7.289 7.289 0.000" Properties=species:S:1:pos:R:3 comment="Sr6Cd23Ge | Alexandria via LeMat-Bulk | PBE | optimized geometry" formation_energy_ev_per_atom=-0.252 spacegroup="No. 225" total_energy_ha_per_atom=-0.053 pbc="T T T"
Sr 7.289 7.289 3.089
Sr 7.289 3.089 7.289
Sr 11.489 7.289 7.289
Sr 3.089 7.289 7.289
Sr 7.289 11.489 7.289
Sr 7.289 7.289 11.489
Cd 3.644 3.644 0.000
Cd 3.644 0.000 3.644
Cd 7.289 3.644 3.644
Cd 9.071 5.506 5.506
Cd 2.450 2.450 2.450
Cd 4.839 4.839 2.450
Cd 4.839 2.450 4.839
Cd 5.506 5.506 5.506
Cd 9.071 9.071 5.506
Cd 9.071 5.506 9.071
Cd 2.450 4.839 4.839
Cd 0.000 3.644 3.644
Cd 3.644 7.289 3.644
Cd 3.644 3.644 7.289
Cd 7.289 7.289 7.289
Cd 12.128 9.738 9.738
Cd 5.506 9.071 5.506
Cd 5.506 5.506 9.071
Cd 9.071 9.071 9.071
Cd 9.738 12.128 9.738
Cd 9.738 9.738 12.128
Cd 12.128 12.128 12.128
Cd 5.506 9.071 9.071
Ge 0.000 0.000 0.000

Record 8
10
Lattice="5.756 -2.417 0.000 5.756 2.417 0.000 -5.478 0.000 9.913" Properties=species:S:1:pos:R:3 comment="Sr2CdGe2 | Alexandria via LeMat-Bulk | PBE | optimized geometry" formation_energy_ev_per_atom=-0.516 spacegroup="No. 12" total_energy_ha_per_atom=-0.118 pbc="T T T"
Sr -1.702 0.000 3.235
Sr 1.564 0.000 1.020
Sr 4.469 0.000 8.894
Sr 7.735 0.000 6.679
Cd -0.337 0.000 6.428
Cd 6.371 0.000 3.485
Ge 1.811 0.000 4.415
Ge 4.933 0.000 1.063
Ge 1.101 0.000 8.851
Ge 4.223 0.000 5.499